Entry 1:
# PBE Hf2BrN, relaxed
# Raw formation energy, eV/f.u.: -2.29
# Energy relative to the lowest polymorph listed for this composition, meV per atom: 0
# Electronic total energy, eV/atom: -8.048
# Calculated volume, Å³/cell: 335
data_Hf2BrN
_chemical_formula_sum 'Hf8 Br4 N4'
_cell_length_a 5.521
_cell_length_b 5.521
_cell_length_c 10.978
_cell_angle_alpha 90.00
_cell_angle_beta 90.00
_cell_angle_gamma 90.00
_space_group_name_H-M_alt 'I -4 2 d'
_space_group_IT_number 122
_space_group_name_Hall 'I -4 2bw'
loop_
_atom_site_label
_atom_site_type_symbol
_atom_site_fract_x
_atom_site_fract_y
_atom_site_fract_z
Hf1 Hf 0.144 0.250 0.125
Br1 Br 0.000 0.000 0.500
N1 N 0.000 0.000 0.000

Entry 2:
# PBE Ba2In3Sn5, relaxed
# ΔH_f (0 K), eV/f.u.: -3.4
# Electronic total energy, eV/atom: -3.544
# Calculated volume, Å³/cell: 1304
data_Ba2In3Sn5
_chemical_formula_sum 'Ba8 In12 Sn20'
_cell_length_a 10.895
_cell_length_b 15.745
_cell_length_c 7.599
_cell_angle_alpha 90.00
_cell_angle_beta 90.00
_cell_angle_gamma 90.00
_space_group_name_H-M_alt 'I b a m'
_space_group_IT_number 72
_space_group_name_Hall '-I 2 2c'
loop_
_atom_site_label
_atom_site_type_symbol
_atom_site_fract_x
_atom_site_fract_y
_atom_site_fract_z
Ba1 Ba 0.249 0.126 0.000
In1 In 0.000 0.000 0.250
In2 In 0.118 0.375 0.000
Sn1 Sn 0.000 0.251 0.250
Sn2 Sn 0.000 0.500 0.250
Sn3 Sn 0.117 0.123 0.500